Below is an optimized crystal structure of NaSr3Ga, with properties calculated at the GGA-PBE level.

Cell and atoms, written as POSCAR:
```
NaSr3Ga
1.0
9.148 0.000 0.000
0.000 8.395 0.000
-2.803 0.000 10.900
Na Sr Ga
4 12 4
direct
0.231 0.045 0.255 Na
0.231 0.455 0.755 Na
0.769 0.545 0.245 Na
0.769 0.955 0.745 Na
0.054 0.731 0.036 Sr
0.054 0.769 0.536 Sr
0.301 0.525 0.363 Sr
0.301 0.975 0.863 Sr
0.412 0.144 0.592 Sr
0.412 0.356 0.092 Sr
0.588 0.644 0.908 Sr
0.588 0.856 0.408 Sr
0.699 0.025 0.137 Sr
0.699 0.475 0.637 Sr
0.946 0.231 0.464 Sr
0.946 0.269 0.964 Sr
0.414 0.748 0.623 Ga
0.414 0.752 0.123 Ga
0.586 0.248 0.877 Ga
0.586 0.252 0.377 Ga
```

**V**: 837 Å³ per cell
**Space-group type**: P2_1/c, No. 14
**Total moment**: 0.00 μB per atom
**Energy relative to the elements**: -0.08 eV/atom